# 1
Here is a PBEsol-optimized structure of LiZnNi2 from Alexandria. Energies are from meta-GGA SCAN.

Results
ΔE_f = -0.07 eV per atom

abc: 3.9647 3.9647 3.9716
angles: 119.94 119.94 90.00
Element x y z (fractional)
Ni 0.7500 0.2500 0.5000
Ni 0.0000 0.0000 0.0000
Zn 0.5000 0.5000 0.0000
Li 0.2500 0.7500 0.5000

=====

# 2
Here is a PBEsol-optimized structure of LiZnNi2 from Alexandria. Energies are from meta-GGA SCAN.

Results
ΔE_f = -0.08 eV per atom

abc: 2.6932 4.0039 4.1020
angles: 90.00 90.00 90.00
Last column: magnetic moment on the atom in μB.
Element x y z (fractional)
Ni 0.0000 0.0000 0.0000  0.15
Zn 0.5000 0.5000 0.0000  -0.01
Li 0.0000 0.5000 0.5000  -0.01
Ni 0.5000 0.0000 0.5000  0.28

=====

# 3
Here is a PBEsol-optimized structure of LiZnNi2 from Alexandria. Energies are from meta-GGA SCAN.

Results
ΔE_f = -0.02 eV per atom

abc: 2.5327 2.5327 8.3461
angles: 81.27 81.27 60.00
Last column: magnetic moment on the atom in μB.
Element x y z (fractional)
Ni 0.2486 0.2486 0.2541  0.38
Ni 0.7514 0.7514 0.7459  0.38
Zn 0.5000 0.5000 0.5000  -0.01
Li 0.0000 0.0000 0.0000  -0.01

=====

# 4
Here is a PBEsol-optimized structure of LiZn2Ni from Alexandria. Energies are from meta-GGA SCAN.

Results
excess energy over the best structure of this formula in the dataset = 28 meV/atom
ΔE_f = -0.22 eV per atom

abc: 2.9005 4.0692 4.0689
angles: 90.00 90.00 90.00
Element x y z (fractional)
Zn 0.0000 0.5000 0.6248
Ni 0.5000 0.5000 0.1248
Zn 0.0000 0.0000 0.1252
Li 0.5000 0.0000 0.6252

=====

# 5
Here is a PBEsol-optimized structure of LiZnNi from Alexandria. Energies are from meta-GGA SCAN.

Results
excess energy over the best structure of this formula in the dataset = 46 meV/atom
ΔE_f = -0.09 eV per atom

abc: 2.7492 2.7492 5.1734
angles: 105.41 105.41 90.00
Element x y z (fractional)
Zn 0.6781 0.6781 0.3561
Li 0.9928 0.9928 0.9856
Ni 0.3292 0.3292 0.6583

=====

# 6
Here is a PBEsol-optimized structure of LiZnNi2 from Alexandria. Energies are from meta-GGA SCAN.

Results
ΔE_f = -0.06 eV per atom

abc: 2.6840 4.0438 4.7917
angles: 114.96 106.26 90.00
Last column: magnetic moment on the atom in μB.
Element x y z (fractional)
Li 0.2540 0.7540 0.5080  -0.01
Ni 0.7461 0.2461 0.4921  0.31
Zn 0.4933 0.4933 0.9866  -0.01
Ni 0.0067 0.0067 0.0133  0.23

=====

# 7
Here is a PBEsol-optimized structure of LiZnNi from Alexandria. Energies are from meta-GGA SCAN.

Results
excess energy over the best structure of this formula in the dataset = 4 meV/atom
ΔE_f = -0.14 eV per atom

abc: 2.5495 3.6556 4.3896
angles: 114.61 106.88 90.00
Element x y z (fractional)
Zn 0.3264 0.3264 0.6529
Ni 0.6724 0.6724 0.3448
Li 0.0012 0.0012 0.0023

=====

# 8
Here is a PBEsol-optimized structure of LiZnNi2 from Alexandria. Energies are from meta-GGA SCAN.

Results
ΔE_f = -0.08 eV per atom

abc: 2.5272 4.3238 4.3332
angles: 99.96 90.00 106.99
Last column: magnetic moment on the atom in μB.
Element x y z (fractional)
Li 0.5000 0.0000 0.0000  0.00
Ni 0.7453 0.4906 0.7475  0.33
Zn 0.0000 0.0000 0.5000  -0.01
Ni 0.2547 0.5094 0.2525  0.33

=====

# 9
Here is a PBEsol-optimized structure of LiZnNi2 from Alexandria. Energies are from meta-GGA SCAN.

Results
ΔE_f = -0.07 eV per atom

abc: 2.8297 4.0017 4.6094
angles: 115.73 107.88 90.00
Element x y z (fractional)
Ni 0.2502 0.2502 0.5004
Zn 0.5000 0.0000 0.0000
Li 0.0000 0.5000 0.0000
Ni 0.7498 0.7498 0.4996

=====

# 10
Here is a PBEsol-optimized structure of LiZnNi from Alexandria. Energies are from meta-GGA SCAN.

Results
excess energy over the best structure of this formula in the dataset = 0 meV/atom
ΔE_f = -0.14 eV per atom

abc: 2.4900 4.0107 4.0107
angles: 120.00 90.00 90.00
Element x y z (fractional)
Ni 0.7101 0.3333 0.6667
Zn 0.3143 0.6667 0.3333
Li 0.9755 0.0000 0.0000

=====

# 11
Here is a PBEsol-optimized structure of LiZn2Ni from Alexandria. Energies are from meta-GGA SCAN.

Results
excess energy over the best structure of this formula in the dataset = 34 meV/atom
ΔE_f = -0.21 eV per atom

abc: 2.6000 3.5022 5.4368
angles: 90.00 90.03 90.00
Element x y z (fractional)
Zn 0.9997 0.0000 0.2659
Zn 0.0003 0.0000 0.7341
Li 0.5000 0.5000 0.0000
Ni 0.5000 0.5000 0.5000

=====

# 12
Here is a PBEsol-optimized structure of LiZnNi2 from Alexandria. Energies are from meta-GGA SCAN.

Results
ΔE_f = -0.06 eV per atom

abc: 2.4491 3.9920 4.5698
angles: 90.00 97.45 90.00
Last column: magnetic moment on the atom in μB.
Element x y z (fractional)
Zn 0.5000 0.5000 0.0000  -0.01
Li 0.0000 0.5000 0.5000  0.00
Ni 0.2225 0.0000 0.2545  0.26
Ni 0.7775 0.0000 0.7455  0.26